1.
A relaxed BaYAg2 crystal. Source: Alexandria, functional GGA-PBE.

Summary:
As for the energy of formation: -0.1638 eV/atom.

a b c (Å): 5.531 5.533 3.747
angles (deg): 90.00 90.00 90.00
Positions (direct):
Y  0.000  0.500  0.500
Ba  0.500  0.000  0.500
Ag  0.500  0.500  0.000
Ag  0.000  0.000  0.000

2.
A relaxed SrPmCd crystal. Source: Alexandria, functional GGA-PBE.

Summary:
As for the energy of formation: -0.1555 eV/atom.

a b c (Å): 3.908 3.908 14.495
angles (deg): 97.75 97.75 90.00
Positions (direct):
Sr  0.571  0.571  0.142
Cd  0.145  0.145  0.290
Pm  0.708  0.708  0.417
Sr  0.429  0.429  0.858
Pm  0.292  0.292  0.583
Cd  0.855  0.855  0.710

3.
A relaxed HfZn2Pt crystal. Source: Alexandria, functional GGA-PBE.

Summary:
As for the energy of formation: -0.1568 eV/atom.

a b c (Å): 7.403 7.403 5.864
angles (deg): 50.86 50.86 90.00
Positions (direct):
Zn  0.095  0.625  0.250
Pt  0.750  0.250  0.500
Zn  0.375  0.345  0.750
Zn  0.875  0.905  0.750
Pt  0.000  0.000  0.000
Hf  0.500  0.500  0.000
Zn  0.655  0.125  0.250
Hf  0.250  0.750  0.500

4.
A relaxed CaAcTmPb crystal. Source: Alexandria, functional GGA-PBE.

Summary:
As for the energy of formation: 0.0031 eV/atom.

a b c (Å): 5.734 5.734 5.734
angles (deg): 60.00 60.00 60.00
Each line ends with the local moment (μB).
Positions (direct):
Tm  0.000  0.000  0.000  0.32
Pb  0.250  0.250  0.250  -0.01
Ca  0.500  0.500  0.500  0.07
Ac  0.750  0.750  0.750  0.20

5.
A relaxed Ce4AlSb crystal. Source: Alexandria, functional GGA-PBE.

Summary:
Its raw formation energy is -0.29 eV/atom.

a b c (Å): 3.152 5.094 9.006
angles (deg): 90.00 90.00 90.00
Each line ends with the local moment (μB).
Positions (direct):
Ce  0.499  0.997  0.820  0.44
Ce  0.499  0.497  0.335  0.42
Ce  0.499  0.997  0.176  0.44
Ce  0.499  0.497  0.661  0.42
Al  0.999  0.997  0.498  -0.01
Sb  0.999  0.497  0.998  -0.01

6.
A relaxed YGaTc crystal. Source: Alexandria, functional GGA-PBE.

Summary:
As for the energy of formation: -0.4463 eV/atom.

a b c (Å): 5.337 5.402 5.402
angles (deg): 62.34 60.39 60.39
Positions (direct):
Y  0.885  0.365  0.365
Tc  0.500  0.000  0.000
Y  0.115  0.635  0.635
Ga  0.500  0.000  0.500
Ga  0.500  0.500  0.000
Tc  0.000  0.000  0.000

7.
A relaxed Pr6CoHg3 crystal. Source: Alexandria, functional GGA-PBE.

Summary:
As for the energy of formation: -0.2243 eV/atom.

a b c (Å): 8.546 8.546 8.546
angles (deg): 93.38 93.38 93.38
Positions (direct):
Pr  0.077  0.968  0.310
Pr  0.423  0.190  0.532
Pr  0.310  0.077  0.968
Pr  0.532  0.423  0.190
Hg  0.649  0.250  0.851
Hg  0.149  0.351  0.750
Pr  0.468  0.577  0.810
Pr  0.032  0.690  0.923
Hg  0.351  0.750  0.149
Co  0.500  0.500  0.500
Pr  0.577  0.810  0.468
Pr  0.968  0.310  0.077
Hg  0.851  0.649  0.250
Hg  0.750  0.149  0.351
Pr  0.810  0.468  0.577
Co  0.000  0.000  0.000
Hg  0.250  0.851  0.649
Pr  0.923  0.032  0.690
Pr  0.190  0.532  0.423
Pr  0.690  0.923  0.032

8.
A relaxed TiTe2SN crystal. Source: Alexandria, functional GGA-PBE.

Summary:
Its raw formation energy is 0.27 eV/atom.

a b c (Å): 5.431 5.431 3.748
angles (deg): 90.00 90.00 90.00
Positions (direct):
Ti  0.000  0.000  0.000
N  0.000  0.000  0.500
Te  0.500  0.000  0.000
Te  0.000  0.500  0.000
S  0.500  0.500  0.500

9.
A relaxed CsPuVCl6 crystal. Source: Alexandria, functional GGA-PBE.

Summary:
Its raw formation energy is -1.71 eV/atom.

a b c (Å): 6.791 6.791 7.862
angles (deg): 90.00 89.99 59.99
Each line ends with the local moment (μB).
Positions (direct):
Cs  0.000  0.000  0.000  0.00
Cl  0.969  0.649  0.687  -0.03
Cl  0.969  0.382  0.313  -0.03
V  0.667  0.667  0.500  2.43
Cl  0.382  0.969  0.687  -0.03
Cl  0.649  0.382  0.687  -0.03
Cl  0.382  0.649  0.313  -0.03
Cl  0.649  0.969  0.313  -0.03
Pu  0.333  0.333  0.500  5.23

10.
A relaxed LaMn2Cd crystal. Source: Alexandria, functional GGA-PBE.

Summary:
As for the energy of formation: 0.1361 eV/atom.

a b c (Å): 3.224 3.224 7.826
angles (deg): 90.00 90.00 90.00
Each line ends with the local moment (μB).
Positions (direct):
Mn  0.000  0.000  0.071  -2.97
Mn  0.500  0.500  0.209  3.27
Cd  0.000  0.000  0.443  -0.03
La  0.500  0.500  0.776  0.23

11.
A relaxed Ti4CSe crystal. Source: Alexandria, functional GGA-PBE.

Summary:
Its raw formation energy is -0.62 eV/atom.

a b c (Å): 5.356 6.023 6.847
angles (deg): 109.36 105.62 106.09
Positions (direct):
Ti  0.209  0.326  0.418
Ti  0.291  0.908  0.582
Ti  0.791  0.674  0.582
Ti  0.044  0.835  0.102
C  0.183  0.933  0.866
C  0.817  0.067  0.134
Se  0.363  0.613  0.226
Ti  0.558  0.267  0.102
Se  0.637  0.387  0.774
Ti  0.709  0.092  0.418
Ti  0.956  0.165  0.898
Ti  0.442  0.733  0.898

12.
A relaxed Y4PtPb crystal. Source: Alexandria, functional GGA-PBE.

Summary:
As for the energy of formation: 0.2476 eV/atom.

a b c (Å): 6.154 6.154 6.154
angles (deg): 60.00 60.00 60.00
Positions (direct):
Y  0.875  0.375  0.375
Y  0.375  0.375  0.375
Pb  0.750  0.750  0.750
Y  0.375  0.875  0.375
Pt  0.000  0.000  0.000
Y  0.375  0.375  0.875

13.
A relaxed SrSi2Au crystal. Source: Alexandria, functional GGA-PBE.

Summary:
Its raw formation energy is 0.05 eV/atom.

a b c (Å): 4.343 4.345 4.444
angles (deg): 90.00 90.00 90.00
Positions (direct):
Si  0.000  0.000  0.000
Si  0.500  0.500  0.000
Au  0.000  0.500  0.500
Sr  0.500  0.000  0.500

14.
A relaxed KPrAg2Cl6 crystal. Source: Alexandria, functional GGA-PBE.

Summary:
Its raw formation energy is -1.47 eV/atom.

a b c (Å): 7.365 7.363 7.803
angles (deg): 90.02 118.17 120.02
Positions (direct):
Cl  0.813  0.754  0.199
Pr  0.006  0.002  0.994
Cl  0.540  0.930  0.706
Cl  0.157  0.401  0.200
K  0.997  0.498  0.480
Cl  0.789  0.608  0.706
Cl  0.460  0.059  0.200
Ag  0.594  0.797  0.376
Ag  0.501  0.250  0.738
Cl  0.110  0.179  0.704

15.
A relaxed MgSbF6 crystal. Source: Alexandria, functional GGA-PBE.

Summary:
Its raw formation energy is -2.70 eV/atom.

a b c (Å): 5.663 5.663 5.663
angles (deg): 57.97 57.97 57.97
Each line ends with the local moment (μB).
Positions (direct):
F  0.656  0.839  0.252  0.05
Mg  0.500  0.500  0.500  0.01
F  0.839  0.252  0.656  0.05
F  0.344  0.161  0.748  0.05
F  0.748  0.344  0.161  0.05
Sb  0.000  0.000  0.000  0.17
F  0.161  0.748  0.344  0.05
F  0.252  0.656  0.839  0.05

16.
A relaxed CuSiHg2 crystal. Source: Alexandria, functional GGA-PBE.

Summary:
Its raw formation energy is 0.44 eV/atom.

a b c (Å): 6.254 6.254 2.932
angles (deg): 61.92 61.92 95.93
Positions (direct):
Hg  0.000  0.000  0.000
Cu  0.000  0.500  0.500
Hg  0.500  0.500  0.000
Si  0.500  0.000  0.500

17.
A relaxed Tb3ScIn12 crystal. Source: Alexandria, functional GGA-PBE.

Summary:
As for the energy of formation: -0.3904 eV/atom.

a b c (Å): 4.616 4.616 18.529
angles (deg): 90.00 90.00 90.00
Positions (direct):
Tb  0.000  0.000  0.500
In  0.500  0.000  0.880
In  0.000  0.500  0.880
In  0.000  0.500  0.120
In  0.500  0.500  0.500
Tb  0.000  0.000  0.754
In  0.500  0.000  0.373
In  0.000  0.500  0.373
Tb  0.000  0.000  0.246
In  0.500  0.000  0.120
Sc  0.000  0.000  0.000
In  0.500  0.500  0.752
In  0.000  0.500  0.627
In  0.500  0.000  0.627
In  0.500  0.500  0.000
In  0.500  0.500  0.248

18.
A relaxed KTe2Rh2 crystal. Source: Alexandria, functional GGA-PBE.

Summary:
Its raw formation energy is -0.45 eV/atom.

a b c (Å): 4.210 4.210 7.784
angles (deg): 74.31 74.31 90.00
Positions (direct):
Te  0.640  0.640  0.719
Rh  0.250  0.750  0.500
Te  0.360  0.360  0.281
K  0.000  0.000  0.000
Rh  0.750  0.250  0.500

19.
A relaxed Cs2YCl6 crystal. Source: Alexandria, functional GGA-PBE.

Summary:
Its raw formation energy is -1.80 eV/atom.

a b c (Å): 4.393 8.669 8.669
angles (deg): 120.00 90.00 90.00
Each line ends with the local moment (μB).
Positions (direct):
Cl  0.000  0.676  0.676  0.14
Cl  0.500  0.000  0.782  0.15
Cl  0.000  0.000  0.324  0.14
Cs  0.500  0.667  0.333  0.00
Cl  0.500  0.218  0.218  0.15
Cs  0.500  0.333  0.667  0.00
Cl  0.000  0.324  0.000  0.14
Cl  0.500  0.782  0.000  0.15
Y  0.000  0.000  0.000  -0.01

20.
A relaxed Te2PtS crystal. Source: Alexandria, functional GGA-PBE.

Summary:
Its raw formation energy is 0.49 eV/atom.

a b c (Å): 9.630 9.630 9.630
angles (deg): 19.98 19.98 19.98
Positions (direct):
Te  0.908  0.908  0.908
Te  0.092  0.092  0.092
Pt  0.000  0.000  0.000
S  0.500  0.500  0.500

21.
A relaxed Nd2Tm3Tl4 crystal. Source: Alexandria, functional GGA-PBE.

Summary:
As for the energy of formation: -0.2807 eV/atom.

a b c (Å): 5.281 5.276 10.751
angles (deg): 90.09 90.01 59.96
Positions (direct):
Nd  0.667  0.666  0.223
Tm  0.333  0.333  0.428
Tl  0.333  0.333  0.103
Tm  0.000  0.000  0.000
Tl  0.000  0.000  0.350
Nd  0.333  0.334  0.777
Tm  0.667  0.667  0.572
Tl  0.000  0.000  0.650
Tl  0.667  0.667  0.897

22.
A relaxed ZrTc4Sb crystal. Source: Alexandria, functional GGA-PBE.

Summary:
Its raw formation energy is 0.02 eV/atom.

a b c (Å): 5.256 5.256 5.256
angles (deg): 60.00 60.00 60.00
Positions (direct):
Tc  0.878  0.374  0.374
Tc  0.374  0.374  0.374
Tc  0.374  0.878  0.374
Zr  0.750  0.750  0.750
Tc  0.374  0.374  0.878
Sb  0.000  0.000  0.000

23.
A relaxed Rb2NaZn2 crystal. Source: Alexandria, functional GGA-PBE.

Summary:
As for the energy of formation: 0.1259 eV/atom.

a b c (Å): 8.832 8.832 5.344
angles (deg): 90.00 90.00 90.00
Positions (direct):
Na  0.500  0.500  0.000
Zn  0.894  0.606  0.000
Rb  0.817  0.317  0.500
Zn  0.606  0.106  0.000
Rb  0.317  0.183  0.500
Zn  0.106  0.394  0.000
Zn  0.394  0.894  0.000
Rb  0.683  0.817  0.500
Rb  0.183  0.683  0.500
Na  0.000  0.000  0.000

Number 1: total energy -3.69 eV per atom. Number 2: total energy -2.60 eV per atom. Number 3: total energy -4.79 eV per atom. Number 4: total energy -3.57 eV per atom. Number 5: total energy -5.56 eV per atom. Number 6: total energy -7.07 eV per atom. Number 7: total energy -3.89 eV per atom. Number 8: total energy -5.06 eV per atom. Number 9: total energy -5.64 eV per atom. Number 10: total energy -5.91 eV per atom. Number 11: total energy -8.00 eV per atom. Number 12: total energy -5.69 eV per atom. Number 13: total energy -3.90 eV per atom. Number 14: total energy -3.74 eV per atom. Number 15: total energy -4.82 eV per atom. Number 16: total energy -2.09 eV per atom. Number 17: total energy -3.71 eV per atom. Number 18: total energy -4.87 eV per atom. Number 19: total energy -3.93 eV per atom. Number 20: total energy -3.63 eV per atom. Number 21: total energy -3.88 eV per atom. Number 22: total energy -9.00 eV per atom. Number 23: total energy -1.03 eV per atom.